DFT (PBE) results for a relaxed structure of CuAg6Pd2.

The structure in CIF format:
```
data_CuAg6Pd2
_cell_length_a 10.3972
_cell_length_b 9.7029
_cell_length_c 7.4425
_cell_angle_alpha 90.00
_cell_angle_beta 125.52
_cell_angle_gamma 90.00
_symmetry_space_group_name_H-M 'C 1 2/c 1'
_symmetry_Int_Tables_number 15
_symmetry_space_group_name_Hall '-C 2yc'
loop_
_atom_site_label
_atom_site_fract_x
_atom_site_fract_y
_atom_site_fract_z
Cu1 0.0000 0.1454 0.2500
Ag1 0.0543 0.3765 0.9742
Ag2 0.1042 0.1078 0.6838
Ag3 0.2273 0.1348 0.1442
Pd1 0.1723 0.3740 0.4192
```

DFT (PBE) results for a relaxed structure of Cu7AgPd4.

The structure in CIF format:
```
data_Cu7AgPd4
_cell_length_a 5.3371
_cell_length_b 5.8198
_cell_length_c 6.0429
_cell_angle_alpha 73.77
_cell_angle_beta 78.24
_cell_angle_gamma 66.58
_symmetry_space_group_name_H-M 'P -1'
_symmetry_Int_Tables_number 2
_symmetry_space_group_name_Hall '-P 1'
loop_
_atom_site_label
_atom_site_fract_x
_atom_site_fract_y
_atom_site_fract_z
Cu1 0.0000 0.0000 0.0000
Cu2 0.1725 0.3267 0.6758
Cu3 0.2450 0.5140 0.9892
Cu4 0.4051 0.8405 0.6578
Ag1 0.5000 0.0000 0.0000
Pd1 0.0876 0.1816 0.3317
Pd2 0.3280 0.6494 0.3289
```

DFT (PBE) results for a relaxed structure of Cu2Ag3Pd4.

The structure in CIF format:
```
data_Cu2Ag3Pd4
_cell_length_a 8.7424
_cell_length_b 4.0096
_cell_length_c 8.3451
_cell_angle_alpha 90.00
_cell_angle_beta 107.02
_cell_angle_gamma 90.00
_symmetry_space_group_name_H-M 'C 1 2/m 1'
_symmetry_Int_Tables_number 12
_symmetry_space_group_name_Hall '-C 2y'
loop_
_atom_site_label
_atom_site_fract_x
_atom_site_fract_y
_atom_site_fract_z
Cu1 0.1656 0.0000 0.2172
Ag1 0.0000 0.5000 0.0000
Ag2 0.1688 0.0000 0.5574
Pd1 0.0019 0.5000 0.6709
Pd2 0.1667 0.0000 0.8892
```

DFT (PBE) results for a relaxed structure of Cu5Ag2Pd12.

The structure in CIF format:
```
data_Cu5Ag2Pd12
_cell_length_a 14.6629
_cell_length_b 5.3701
_cell_length_c 8.2280
_cell_angle_alpha 90.00
_cell_angle_beta 103.99
_cell_angle_gamma 90.00
_symmetry_space_group_name_H-M 'C 1 2/m 1'
_symmetry_Int_Tables_number 12
_symmetry_space_group_name_Hall '-C 2y'
loop_
_atom_site_label
_atom_site_fract_x
_atom_site_fract_y
_atom_site_fract_z
Cu1 0.0000 0.0000 0.0000
Cu2 0.1308 0.5000 0.3752
Cu3 0.2119 0.5000 0.9076
Ag1 0.0000 0.2491 0.5000
Pd1 0.0275 0.5000 0.8390
Pd2 0.1108 0.0000 0.8098
Pd3 0.1412 0.2526 0.1167
Pd4 0.2069 0.2488 0.6278
```

DFT (PBE) results for a relaxed structure of CuAg6Pd4.

The structure in CIF format:
```
data_CuAg6Pd4
_cell_length_a 5.3875
_cell_length_b 5.3875
_cell_length_c 13.8174
_cell_angle_alpha 90.00
_cell_angle_beta 90.00
_cell_angle_gamma 90.00
_symmetry_space_group_name_H-M 'I -4 2 m'
_symmetry_Int_Tables_number 121
_symmetry_space_group_name_Hall 'I -4 2'
loop_
_atom_site_label
_atom_site_fract_x
_atom_site_fract_y
_atom_site_fract_z
Cu1 0.0000 0.0000 0.0000
Ag1 0.0000 0.5000 0.0000
Ag2 0.1878 0.1878 0.3525
Pd1 0.1876 0.1876 0.1550
```

DFT (PBE) results for a relaxed structure of CuAg14Pd.

The structure in CIF format:
```
data_CuAg14Pd
_cell_length_a 9.5330
_cell_length_b 5.8234
_cell_length_c 10.1160
_cell_angle_alpha 90.00
_cell_angle_beta 90.00
_cell_angle_gamma 90.00
_symmetry_space_group_name_H-M 'A m m 2'
_symmetry_Int_Tables_number 38
_symmetry_space_group_name_Hall 'A 2 -2'
loop_
_atom_site_label
_atom_site_fract_x
_atom_site_fract_y
_atom_site_fract_z
Cu1 0.0000 0.0000 0.0000
Ag1 0.0000 0.2505 0.2488
Ag2 0.2434 0.2485 0.9177
Ag3 0.2460 0.0000 0.1649
Ag4 0.2495 0.0000 0.6657
Ag5 0.5000 0.0000 0.3328
Ag6 0.5000 0.0000 0.8333
Ag7 0.5000 0.2491 0.0822
Pd1 0.0000 0.0000 0.5003
```

DFT (PBE) results for a relaxed structure of Cu2AgPd2.

The structure in CIF format:
```
data_Cu2AgPd2
_cell_length_a 7.1808
_cell_length_b 7.1808
_cell_length_c 2.9078
_cell_angle_alpha 90.00
_cell_angle_beta 90.00
_cell_angle_gamma 90.00
_symmetry_space_group_name_H-M 'P 4/m b m'
_symmetry_Int_Tables_number 127
_symmetry_space_group_name_Hall '-P 4 2ab'
loop_
_atom_site_label
_atom_site_fract_x
_atom_site_fract_y
_atom_site_fract_z
Cu1 0.1250 0.3750 0.0000
Ag1 0.0000 0.0000 0.0000
Pd1 0.1702 0.6702 0.5000
```

DFT (PBE) results for a relaxed structure of CuAg2Pd2.

The structure in CIF format:
```
data_CuAg2Pd2
_cell_length_a 12.5076
_cell_length_b 4.8462
_cell_length_c 5.4537
_cell_angle_alpha 90.00
_cell_angle_beta 106.72
_cell_angle_gamma 90.00
_symmetry_space_group_name_H-M 'C 1 2/c 1'
_symmetry_Int_Tables_number 15
_symmetry_space_group_name_Hall '-C 2yc'
loop_
_atom_site_label
_atom_site_fract_x
_atom_site_fract_y
_atom_site_fract_z
Cu1 0.0000 0.0935 0.2500
Ag1 0.1957 0.0865 0.6484
Pd1 0.0946 0.4089 0.9496
```

DFT (PBE) results for a relaxed structure of Cu6AgPd12.

The structure in CIF format:
```
data_Cu6AgPd12
_cell_length_a 11.4939
_cell_length_b 11.4939
_cell_length_c 8.0171
_cell_angle_alpha 90.00
_cell_angle_beta 90.00
_cell_angle_gamma 120.00
_symmetry_space_group_name_H-M 'R -3 m'
_symmetry_Int_Tables_number 166
_symmetry_space_group_name_Hall '-R 3 2"'
loop_
_atom_site_label
_atom_site_fract_x
_atom_site_fract_y
_atom_site_fract_z
Cu1 0.0659 0.5330 0.2320
Ag1 0.0000 0.0000 0.0000
Pd1 0.0000 0.3829 0.5000
Pd2 0.0804 0.1608 0.2799
```

DFT (PBE) results for a relaxed structure of Cu3Ag2Pd4.

The structure in CIF format:
```
data_Cu3Ag2Pd4
_cell_length_a 8.6904
_cell_length_b 4.0049
_cell_length_c 8.1682
_cell_angle_alpha 90.00
_cell_angle_beta 109.21
_cell_angle_gamma 90.00
_symmetry_space_group_name_H-M 'C 1 2/m 1'
_symmetry_Int_Tables_number 12
_symmetry_space_group_name_Hall '-C 2y'
loop_
_atom_site_label
_atom_site_fract_x
_atom_site_fract_y
_atom_site_fract_z
Cu1 0.0000 0.0000 0.0000
Cu2 0.1568 0.5000 0.5575
Ag1 0.1771 0.5000 0.2317
Pd1 0.0162 0.0000 0.3423
Pd2 0.1616 0.5000 0.8876
```

DFT (PBE) results for a relaxed structure of Cu5Ag2Pd4.

The structure in CIF format:
```
data_Cu5Ag2Pd4
_cell_length_a 13.2805
_cell_length_b 4.0315
_cell_length_c 6.2995
_cell_angle_alpha 90.00
_cell_angle_beta 92.92
_cell_angle_gamma 90.00
_symmetry_space_group_name_H-M 'C 1 2/m 1'
_symmetry_Int_Tables_number 12
_symmetry_space_group_name_Hall '-C 2y'
loop_
_atom_site_label
_atom_site_fract_x
_atom_site_fract_y
_atom_site_fract_z
Cu1 0.0000 0.0000 0.0000
Cu2 0.1048 0.5000 0.0999
Cu3 0.2227 0.5000 0.4133
Ag1 0.0862 0.0000 0.3972
Pd1 0.0637 0.5000 0.6998
Pd2 0.2405 0.0000 0.1408
```

DFT (PBE) results for a relaxed structure of Cu6AgPd2.

The structure in CIF format:
```
data_Cu6AgPd2
_cell_length_a 4.9366
_cell_length_b 4.9366
_cell_length_c 6.0358
_cell_angle_alpha 90.00
_cell_angle_beta 90.00
_cell_angle_gamma 120.00
_symmetry_space_group_name_H-M 'P -3 m 1'
_symmetry_Int_Tables_number 164
_symmetry_space_group_name_Hall '-P 3 2"'
loop_
_atom_site_label
_atom_site_fract_x
_atom_site_fract_y
_atom_site_fract_z
Cu1 0.1720 0.3440 0.1615
Ag1 0.0000 0.0000 0.5000
Pd1 0.3333 0.6667 0.5907
```

no.,final energy (eV per atom),energy relative to the elements (meV/atom)
1,-3.4675,42
2,-4.4192,-61
3,-4.1969,-28
4,-4.4681,190
5,-3.6374,178
6,-3.0385,37
7,-4.2909,-5
8,-4.0502,-13
9,-4.5326,191
10,-4.3467,-40
11,-4.1663,102
12,-4.0551,146